Here is a relaxed structure of La2Ho2CIBr4 from OQMD via LeMat-Bulk. Energies are from PBE.

Cell: 18.138 3.970 9.077 Å, 90.00 103.12 90.00°
Space group C2/m (No. 12)
Asymmetric unit:
La  0.001  0.000  0.303 (multiplicity 4)
Ho  0.136  0.500  0.565 (multiplicity 4)
C  0.000  0.500  0.500 (multiplicity 2)
I  0.000  0.500  0.000 (multiplicity 2)
Br  0.172  0.000  0.797 (multiplicity 4)
Br  0.175  0.000  0.363 (multiplicity 4)

Properties
Raw total energy = -5.031 eV per atom
Size of the total moment = 0.14 μB per formula unit

***

Here is a relaxed structure of Pr2Sc2CI3Br2 from OQMD via LeMat-Bulk. Energies are from PBE.

Cell: 18.876 3.905 8.999 Å, 90.00 102.99 90.00°
Space group C2/m (No. 12)
Asymmetric unit:
Pr  0.001  0.000  0.304 (multiplicity 4)
Sc  0.123  0.500  0.557 (multiplicity 4)
C  0.000  0.500  0.500 (multiplicity 2)
I  0.000  0.500  0.000 (multiplicity 2)
I  0.173  0.000  0.805 (multiplicity 4)
Br  0.165  0.000  0.374 (multiplicity 4)

Properties
Energy above the lowest structure with this stoichiometry = 0 meV per atom
Size of the total moment = 0.09 μB per formula unit

***

Here is a relaxed structure of Hf4AlCdN2 from OQMD via LeMat-Bulk. Energies are from PBE.

Cell: 3.2180 3.2180 14.4892 Å, 90.00 90.00 120.00°
Space group P-6m2 (No. 187)
Asymmetric unit:
Hf  0.0000  0.0000  0.1572 (multiplicity 2)
Hf  0.3333  0.6667  0.3296 (multiplicity 2)
Al  0.3333  0.6667  0.0000 (multiplicity 1)
Cd  0.0000  0.0000  0.5000 (multiplicity 1)
N  0.6667  0.3333  0.2454 (multiplicity 2)

Properties
Raw total energy = -8.660 eV per atom
Size of the total moment = 0.01 μB per formula unit

***

Here is a relaxed structure of SrAl5CuPd from OQMD via LeMat-Bulk. Energies are from PBE.

Cell: 4.077 7.338 9.934 Å, 90.00 90.00 90.00°
Space group Imm2 (No. 44)
Asymmetric unit:
Sr  0.000  0.000  0.000 (multiplicity 2)
Al  0.000  0.186  0.345 (multiplicity 4)
Al  0.000  0.190  0.651 (multiplicity 4)
Al  0.000  0.500  0.993 (multiplicity 2)
Cu  0.000  0.500  0.754 (multiplicity 2)
Pd  0.000  0.500  0.236 (multiplicity 2)

Properties
Raw total energy = -4.125 eV per atom

***

Here is a relaxed structure of Be2NiIr from OQMD via LeMat-Bulk. Energies are from PBE.

Cell: 5.418 5.418 5.418 Å, 90.00 90.00 90.00°
Space group Fm-3m (No. 225)
Asymmetric unit:
Be  0.250  0.250  0.250 (multiplicity 8)
Ni  0.000  0.000  0.000 (multiplicity 4)
Ir  0.000  0.000  0.500 (multiplicity 4)

Properties
Energy above the lowest structure with this stoichiometry = 1 meV per atom
Size of the total moment = 0.00 μB per formula unit

***

Here is a relaxed structure of NaZnSbPt from OQMD via LeMat-Bulk. Energies are from PBE.

Cell: 6.648 6.648 6.648 Å, 90.00 90.00 90.00°
Space group F-43m (No. 216)
Asymmetric unit:
Na  0.000  0.000  0.000 (multiplicity 4)
Zn  0.250  0.250  0.750 (multiplicity 4)
Sb  0.250  0.250  0.250 (multiplicity 4)
Pt  0.000  0.000  0.500 (multiplicity 4)

Properties
Energy above the lowest structure with this stoichiometry = 0 meV per atom
Size of the total moment = 0.00 μB per formula unit

***

Here is a relaxed structure of CsLaAu from OQMD via LeMat-Bulk. Energies are from PBE.

Cell: 7.733 7.733 7.733 Å, 90.00 90.00 90.00°
Space group F-43m (No. 216)
Asymmetric unit:
Cs  0.000  0.000  0.000 (multiplicity 4)
La  0.000  0.000  0.500 (multiplicity 4)
Au  0.250  0.250  0.250 (multiplicity 4)

Properties
Energy above the lowest structure with this stoichiometry = 0 meV per atom
Size of the total moment = 0.01 μB per formula unit

***

Here is a relaxed structure of Lu2MgTc from OQMD via LeMat-Bulk. Energies are from PBE.

Cell: 4.9703 4.9703 8.3727 Å, 90.00 90.00 120.00°
Space group P6_3/mmc (No. 194)
Asymmetric unit:
Lu  0.3333  0.6667  0.0763 (multiplicity 4)
Mg  0.0000  0.0000  0.2500 (multiplicity 2)
Tc  0.3333  0.6667  0.7500 (multiplicity 2)

Properties
Energy above the lowest structure with this stoichiometry = 0 meV per atom
Size of the total moment = 0.00 μB per formula unit

***

Here is a relaxed structure of MgCuSnW from OQMD via LeMat-Bulk. Energies are from PBE.

Cell: 6.513 6.513 6.513 Å, 90.00 90.00 90.00°
Space group F-43m (No. 216)
Asymmetric unit:
Mg  0.000  0.000  0.000 (multiplicity 4)
Cu  0.250  0.250  0.750 (multiplicity 4)
Sn  0.000  0.000  0.500 (multiplicity 4)
W  0.250  0.250  0.250 (multiplicity 4)

Properties
Energy above the lowest structure with this stoichiometry = 0 meV per atom
Size of the total moment = 0.27 μB per formula unit

***

Here is a relaxed structure of RbZn from OQMD via LeMat-Bulk. Energies are from PBE.

Cell: 4.612 4.712 16.484 Å, 90.00 90.00 90.00°
Space group Pmmn (No. 59, origin choice 2)
Asymmetric unit:
Rb  0.250  0.250  0.102 (multiplicity 2)
Rb  0.250  0.750  0.328 (multiplicity 2)
Zn  0.250  0.250  0.501 (multiplicity 2)
Zn  0.250  0.750  0.569 (multiplicity 2)

Properties
Raw total energy = -1.036 eV per atom

***

Here is a relaxed structure of Zr2Al2FeCuIr2 from OQMD via LeMat-Bulk. Energies are from PBE.

Cell: 4.428 4.428 6.298 Å, 90.00 90.00 90.00°
Space group P-4m2 (No. 115)
Asymmetric unit:
Zr  0.000  0.500  0.246 (multiplicity 2)
Al  0.000  0.500  0.749 (multiplicity 2)
Fe  0.500  0.500  0.000 (multiplicity 1)
Cu  0.000  0.000  0.500 (multiplicity 1)
Ir  0.000  0.000  0.000 (multiplicity 1)
Ir  0.500  0.500  0.500 (multiplicity 1)

Properties
Raw total energy = -7.433 eV per atom
Size of the total moment = 0.43 μB per formula unit

***

Here is a relaxed structure of Te2PtAu from OQMD via LeMat-Bulk. Energies are from PBE.

Cell: 7.026 7.026 7.026 Å, 90.00 90.00 90.00°
Space group F-43m (No. 216)
Asymmetric unit:
Te  0.000  0.000  0.000 (multiplicity 4)
Te  0.250  0.250  0.250 (multiplicity 4)
Pt  0.000  0.000  0.500 (multiplicity 4)
Au  0.250  0.250  0.750 (multiplicity 4)

Properties
Raw total energy = -3.482 eV per atom
Size of the total moment = 0.00 μB per formula unit